DFT (PBE) results for a geometry-optimized LiTcH3 structure.

Output
- symmetry = No. 221
- energy relative to the lowest polymorph listed for this composition (meV/atom) = 283
- spin magnetization (μB/f.u.) = 0.0

a = 3.1173 Å, b = 3.1173 Å, c = 3.1173 Å
α = 90.00°, β = 90.00°, γ = 90.00°
Last column: nearest neighbours and their distance in Å.
Atoms (fractional coordinates):
Li 0.0000 0.0000 0.0000  6 H 1.56
H 0.5000 0.0000 0.0000  2 Li 1.56
H 0.0000 0.5000 0.0000  2 Li 1.56
H 0.0000 0.0000 0.5000  2 Li 1.56
Tc 0.5000 0.5000 0.5000  12 H 2.20

DFT (PBE) results for a geometry-optimized CaZr2 structure.

Output
- symmetry = No. 12
- energy relative to the lowest polymorph listed for this composition (meV/atom) = 18
- spin magnetization (μB/f.u.) = 0.0
- formation energy (eV per formula unit) = 0.51

a = 16.6763 Å, b = 3.3731 Å, c = 5.8339 Å
α = 90.00°, β = 96.51°, γ = 90.00°
Last column: nearest neighbours and their distance in Å.
Atoms (fractional coordinates):
Zr 0.2759 0.5000 0.5946  9 Zr 3.12-3.37, 2 Ca 3.49
Zr 0.7241 0.0000 0.9054  9 Zr 3.12-3.37, 2 Ca 3.49
Zr 0.4235 0.5000 0.3077  12 Zr 3.12-3.37
Zr 0.5765 0.0000 0.1923  12 Zr 3.12-3.37
Zr 0.5765 0.5000 0.6923  12 Zr 3.12-3.37
Zr 0.2759 0.0000 0.0946  9 Zr 3.12-3.37, 2 Ca 3.49
Zr 0.4235 0.0000 0.8077  12 Zr 3.12-3.37
Zr 0.7241 0.5000 0.4054  9 Zr 3.12-3.37, 2 Ca 3.49
Ca 0.1006 0.0000 0.7028  6 Ca 3.37, 3 Zr 3.49-3.50
Ca 0.8994 0.0000 0.2972  6 Ca 3.37, 3 Zr 3.49-3.50
Ca 0.1006 0.5000 0.2028  6 Ca 3.37, 3 Zr 3.49-3.50
Ca 0.8994 0.5000 0.7972  6 Ca 3.37, 3 Zr 3.49-3.50

DFT (PBE) results for a geometry-optimized BaIrW2S8 structure.

Output
- energy relative to the elements, uncorrected (eV/atom) = -0.64
- symmetry = No. 147
- spin magnetization (μB/f.u.) = 0.0

a = 6.1345 Å, b = 6.1345 Å, c = 8.7997 Å
α = 90.00°, β = 90.00°, γ = 120.00°
Last column: nearest neighbours and their distance in Å.
Atoms (fractional coordinates):
S 0.6863 0.9965 0.3366  1 W 2.23, 1 Ir 2.39
S 0.6898 0.6863 0.6634  1 W 2.23, 1 Ir 2.39
S 0.6667 0.3333 0.0101  1 W 2.21
S 0.3137 0.0035 0.6634  1 W 2.23, 1 Ir 2.39
S 0.9965 0.3102 0.6634  1 W 2.23, 1 Ir 2.39
S 0.3102 0.3137 0.3366  1 W 2.23, 1 Ir 2.39
S 0.0035 0.6898 0.3366  1 W 2.23, 1 Ir 2.39
S 0.3333 0.6667 0.9899  1 W 2.21
W 0.6667 0.3333 0.2607  4 S 2.21-2.23
W 0.3333 0.6667 0.7393  4 S 2.21-2.23
Ir 0.0000 0.0000 0.5000  6 S 2.39
Ba 0.0000 0.0000 0.0000  12 S 3.53-3.54

DFT (PBE) results for a geometry-optimized GdAlCo structure.

Output
- symmetry = No. 187
- spin magnetization (μB/f.u.) = 6.7
- formation energy (eV per formula unit) = -0.84

a = 3.7889 Å, b = 4.2213 Å, c = 4.2213 Å
α = 120.00°, β = 90.00°, γ = 90.00°
Last column: nearest neighbours and their distance in Å.
Atoms (fractional coordinates):
Co 0.1667 0.6667 0.3333  3 Al 2.44
Gd 0.6667 0.3333 0.6667  6 Al 3.09, 6 Co 3.09
Al 0.1667 0.0000 0.0000  3 Co 2.44

DFT (PBE) results for a geometry-optimized La3Cd2Hg4 structure.

Output
- symmetry = No. 12
- spin magnetization (μB/f.u.) = 0.0
- formation energy (eV per formula unit) = -4.15

a = 5.1037 Å, b = 6.2459 Å, c = 9.4994 Å
α = 116.10°, β = 90.00°, γ = 114.11°
Last column: nearest neighbours and their distance in Å.
Atoms (fractional coordinates):
La 0.0000 0.0000 0.0000  8 Hg 3.39-3.53, 4 Cd 3.46, 2 La 3.60
La 0.3364 0.6727 0.3304  8 Hg 3.38-3.49, 4 Cd 3.41-3.47, 2 La 3.57-3.60
La 0.6636 0.3273 0.6696  8 Hg 3.38-3.49, 4 Cd 3.41-3.47, 2 La 3.57-3.60
Hg 0.2876 0.5752 0.9505  1 Cd 2.92, 2 Hg 2.99
Hg 0.0663 0.1326 0.3966  2 Cd 2.93, 1 Hg 3.00
Hg 0.9337 0.8674 0.6034  2 Cd 2.93, 1 Hg 3.00
Hg 0.7124 0.4248 0.0495  1 Cd 2.92, 2 Hg 2.99
Cd 0.3866 0.7731 0.7186  3 Hg 2.92-2.93
Cd 0.6134 0.2269 0.2814  3 Hg 2.92-2.93

DFT (PBE) results for a geometry-optimized CdAg7Pt3 structure.

Output
- symmetry = No. 156
- spin magnetization (μB/f.u.) = 0.0
- formation energy (eV per formula unit) = 0.80

a = 6.9950 Å, b = 5.7620 Å, c = 5.7620 Å
α = 120.00°, β = 90.00°, γ = 90.00°
Last column: nearest neighbours and their distance in Å.
Atoms (fractional coordinates):
Cd 0.4624 0.3333 0.6667  3 Pt 2.81, 9 Ag 2.88-3.00
Ag 0.1074 0.6704 0.8352  2 Pt 2.82, 8 Ag 2.85-2.94, 1 Cd 3.00
Ag 0.4557 0.8354 0.1646  2 Pt 2.83, 7 Ag 2.85-2.94, 2 Cd 2.88
Ag 0.1129 0.6667 0.3333  3 Pt 2.83, 9 Ag 2.88-2.93
Ag 0.4557 0.3293 0.1646  2 Pt 2.83, 7 Ag 2.85-2.94, 2 Cd 2.88
Ag 0.1074 0.1648 0.8352  2 Pt 2.82, 8 Ag 2.85-2.94, 1 Cd 3.00
Ag 0.1074 0.1648 0.3296  2 Pt 2.82, 8 Ag 2.85-2.94, 1 Cd 3.00
Ag 0.4557 0.8354 0.6707  2 Pt 2.83, 7 Ag 2.85-2.94, 2 Cd 2.88
Pt 0.7835 0.5018 0.4982  1 Cd 2.81, 5 Ag 2.82-2.83, 4 Pt 2.85-2.91
Pt 0.7835 0.5018 0.0036  1 Cd 2.81, 5 Ag 2.82-2.83, 4 Pt 2.85-2.91
Pt 0.7835 0.9964 0.4982  1 Cd 2.81, 5 Ag 2.82-2.83, 4 Pt 2.85-2.91

DFT (PBE) results for a geometry-optimized PmTh4N5 structure.

Output
- energy relative to the elements, uncorrected (eV/atom) = -1.56
- symmetry = No. 87
- spin magnetization (μB/f.u.) = 0.0

a = 5.1710 Å, b = 6.3219 Å, c = 6.3219 Å
α = 80.37°, β = 65.86°, γ = 65.86°
Last column: nearest neighbours and their distance in Å.
Atoms (fractional coordinates):
Pm 0.0011 0.0000 0.0000  6 N 2.58-2.62
Th 0.4003 0.3995 0.8020  6 N 2.55-2.59
Th 0.7998 0.8020 0.6005  6 N 2.55-2.59
Th 0.6018 0.6005 0.1980  6 N 2.55-2.59
Th 0.2023 0.1980 0.3995  6 N 2.55-2.59
N 0.5012 0.0000 0.0000  4 Th 2.57, 2 Pm 2.58-2.59
N 0.8992 0.4064 0.7972  5 Th 2.55-2.59, 1 Pm 2.62
N 0.1028 0.5936 0.2028  5 Th 2.55-2.59, 1 Pm 2.62
N 0.3056 0.7972 0.5936  5 Th 2.55-2.59, 1 Pm 2.62
N 0.6963 0.2028 0.4064  5 Th 2.55-2.59, 1 Pm 2.62

DFT (PBE) results for a geometry-optimized La4AuI2Br structure.

Output
- energy relative to the elements, uncorrected (eV/atom) = -1.03
- symmetry = No. 10
- spin magnetization (μB/f.u.) = 0.0

a = 4.3192 Å, b = 7.4838 Å, c = 8.4345 Å
α = 107.87°, β = 90.00°, γ = 90.00°
Last column: nearest neighbours and their distance in Å.
Atoms (fractional coordinates):
I 0.5000 0.0000 0.5000  6 La 3.36-3.40
I 0.0000 0.5000 0.5000  6 La 3.35-3.39
Au 0.0000 0.0000 0.0000  6 La 3.01-3.10
La 0.0000 0.2642 0.7792  2 Br 3.04, 1 Au 3.10, 3 I 3.35-3.36
La 0.0000 0.7358 0.2208  2 Br 3.04, 1 Au 3.10, 3 I 3.35-3.36
La 0.5000 0.2346 0.2131  2 Au 3.01, 1 Br 3.06
La 0.5000 0.7654 0.7869  2 Au 3.01, 1 Br 3.06
Br 0.5000 0.5000 0.0000  6 La 3.04-3.06

DFT (PBE) results for a geometry-optimized Cu2IrSe structure.

Output
- energy relative to the elements, uncorrected (eV/atom) = 0.42
- symmetry = No. 122
- spin magnetization (μB/f.u.) = 0.0

a = 7.0117 Å, b = 7.0117 Å, c = 5.5418 Å
α = 50.76°, β = 50.76°, γ = 90.00°
Last column: nearest neighbours and their distance in Å.
Atoms (fractional coordinates):
Ir 0.0000 0.0000 0.0000  2 Se 2.48, 4 Cu 2.62
Ir 0.7500 0.2500 0.5000  2 Se 2.48, 4 Cu 2.62
Se 0.5000 0.5000 0.0000  2 Ir 2.48, 4 Cu 2.49
Se 0.2500 0.7500 0.5000  2 Ir 2.48, 4 Cu 2.49
Cu 0.1392 0.6250 0.2500  2 Cu 2.48, 2 Se 2.49, 2 Ir 2.62
Cu 0.3750 0.3892 0.7500  2 Cu 2.48, 2 Se 2.49, 2 Ir 2.62
Cu 0.6108 0.1250 0.2500  2 Cu 2.48, 2 Se 2.49, 2 Ir 2.62
Cu 0.8750 0.8608 0.7500  2 Cu 2.48, 2 Se 2.49, 2 Ir 2.62

DFT (PBE) results for a geometry-optimized BaLiMoN3 structure.

Output
- energy relative to the elements, uncorrected (eV/atom) = -0.67
- symmetry = No. 63
- spin magnetization (μB/f.u.) = 0.0

a = 5.5956 Å, b = 5.8117 Å, c = 6.0349 Å
α = 118.78°, β = 90.00°, γ = 90.00°
Last column: nearest neighbours and their distance in Å.
Atoms (fractional coordinates):
Mo 0.7500 0.9471 0.8942  5 N 1.82-2.02
Mo 0.2500 0.0529 0.1058  5 N 1.82-2.02
N 0.5000 0.7681 0.0000  2 Mo 2.02, 2 Li 2.21
N 0.2500 0.2251 0.4502  1 Mo 1.82
N 0.0000 0.7681 0.0000  2 Mo 2.02, 2 Li 2.21
N 0.5000 0.2319 0.0000  2 Mo 2.02, 2 Li 2.21
N 0.7500 0.7749 0.5498  1 Mo 1.82
N 0.0000 0.2319 0.0000  2 Mo 2.02, 2 Li 2.21
Li 0.7500 0.5680 0.1359  5 N 2.19-2.21
Li 0.2500 0.4320 0.8641  5 N 2.19-2.21
Ba 0.7500 0.2757 0.5514  8 N 2.85-3.16, 1 Li 3.09
Ba 0.2500 0.7243 0.4486  8 N 2.85-3.16, 1 Li 3.09

DFT (PBE) results for a geometry-optimized KZrPb2 structure.

Output
- symmetry = No. 166
- energy relative to the lowest polymorph listed for this composition (meV/atom) = 102
- spin magnetization (μB/f.u.) = 0.0
- formation energy (eV per formula unit) = -0.20

a = 11.2622 Å, b = 11.2622 Å, c = 11.2622 Å
α = 17.75°, β = 17.75°, γ = 17.75°
Last column: nearest neighbours and their distance in Å.
Atoms (fractional coordinates):
K 0.7500 0.7500 0.7500  6 K 3.47, 6 Pb 3.62
Zr 0.2500 0.2500 0.2500  6 Pb 3.23, 6 Zr 3.47
Pb 0.5073 0.5073 0.5073  3 Zr 3.23, 6 Pb 3.47
Pb 0.9927 0.9927 0.9927  3 Zr 3.23, 6 Pb 3.47

DFT (PBE) results for a geometry-optimized AcY3Sn2 structure.

Output
- symmetry = No. 12
- spin magnetization (μB/f.u.) = 0.9
- formation energy (eV per formula unit) = -3.08

a = 4.7833 Å, b = 10.6048 Å, c = 9.4556 Å
α = 123.37°, β = 90.00°, γ = 103.03°
Last column: nearest neighbours and their distance in Å.
Atoms (fractional coordinates):
Y 0.6420 0.2841 0.7992  4 Sn 3.20-3.39, 1 Y 3.57
Y 0.9416 0.8833 0.5755  3 Sn 3.10-3.25, 3 Y 3.42-3.43
Y 0.0584 0.1167 0.4245  3 Sn 3.10-3.25, 3 Y 3.42-3.43
Y 0.6920 0.3840 0.4948  4 Sn 3.18-3.54, 4 Y 3.35-3.42
Y 0.3080 0.6160 0.5052  4 Sn 3.18-3.54, 4 Y 3.35-3.42
Y 0.3580 0.7159 0.2008  4 Sn 3.20-3.39, 1 Y 3.57
Ac 0.8831 0.7662 0.9128  6 Sn 3.41-3.61, 1 Y 3.69
Ac 0.1169 0.2338 0.0872  6 Sn 3.41-3.61, 1 Y 3.69
Sn 0.4861 0.9723 0.8228  1 Sn 3.06, 4 Y 3.10-3.35, 2 Ac 3.41
Sn 0.7638 0.5277 0.2327  7 Y 3.20-3.54, 2 Ac 3.48
Sn 0.5139 0.0277 0.1772  1 Sn 3.06, 4 Y 3.10-3.35, 2 Ac 3.41
Sn 0.2362 0.4723 0.7673  7 Y 3.20-3.54, 2 Ac 3.48